# 1
# ZnAuSe

A relaxed ZnAuSe crystal (PBE, Alexandria via LeMat-Bulk).

- space-group type = I4mm, No. 107
- energy relative to the elements, uncorrected (eV/atom) = 0.101
- polymorph energy (0 for the lowest one) (meV per atom) = 292

abc: 6.9344 6.9344 6.9344
angles: 155.19 155.19 35.37
Sites, in units of the cell vectors:
Au 0.0317 0.0317 0.0000
Se 0.3049 0.3049 0.0000
Zn 0.6634 0.6634 0.0000

=====

# 2
# Sc2BeP

A relaxed Sc2BeP crystal (PBE, Alexandria via LeMat-Bulk).

- space-group type = P4/mmm, No. 123
- energy of formation from the pure elements (meV per atom) = -552
- polymorph energy (0 for the lowest one) (meV per atom) = 296

abc: 3.3598 3.3598 5.7893
angles: 90.00 90.00 90.01
Site moments in Bohr magnetons follow the coordinates.
Sites, in units of the cell vectors:
Sc 0.0000 0.0000 0.9950  0.11
Sc 0.0000 0.0000 0.5050  0.11
P 0.5000 0.5000 0.7500  0.00
Be 0.5000 0.5000 0.2500  0.00